Arrangement a

# ErPaCo2 | the Alexandria database | PBE-GGA | optimized geometry
# - M_tot (μB/f.u.) = 0.0
data_ErPaCo2
_cell_length_a 5.1382
_cell_length_b 4.2869
_cell_length_c 7.1222
_cell_angle_alpha 90.00
_cell_angle_beta 109.37
_cell_angle_gamma 90.00
_space_group_name_H-M_alt 'P 1 21/m 1'
_space_group_IT_number 11
loop_
_space_group_symop_operation_xyz
'x,y,z'
'-x,-y,-z'
'-x,y+1/2,-z'
'x,-y+1/2,z'
loop_
_atom_site_label
_atom_site_type_symbol
_atom_site_fract_x
_atom_site_fract_y
_atom_site_fract_z
Er1 Er 0.2420 0.2500 0.4362
Pa1 Pa 0.1971 0.2500 0.9093
Co1 Co 0.3105 0.7500 0.1493
Co2 Co 0.3386 0.7500 0.7616

Arrangement b

# ErPaCo2 | the Alexandria database | PBE-GGA | optimized geometry
# - M_tot (μB/f.u.) = 0.0
data_ErPaCo2
_cell_length_a 6.6304
_cell_length_b 6.6304
_cell_length_c 6.6304
_cell_angle_alpha 90.00
_cell_angle_beta 90.00
_cell_angle_gamma 90.00
_space_group_name_H-M_alt 'F m -3 m'
_space_group_IT_number 225
_space_group_name_Hall '-F 4 2 3'
loop_
_atom_site_label
_atom_site_type_symbol
_atom_site_fract_x
_atom_site_fract_y
_atom_site_fract_z
Er1 Er 0.0000 0.0000 0.0000
Pa1 Pa 0.0000 0.0000 0.5000
Co1 Co 0.2500 0.2500 0.2500

Arrangement c

# ErPaCo2 | the Alexandria database | PBE-GGA | optimized geometry
# - M_tot (μB/f.u.) = 0.0
data_ErPaCo2
_cell_length_a 4.7020
_cell_length_b 4.7020
_cell_length_c 3.2661
_cell_angle_alpha 90.00
_cell_angle_beta 90.00
_cell_angle_gamma 90.00
_space_group_name_H-M_alt 'P 4/m m m'
_space_group_IT_number 123
_space_group_name_Hall '-P 4 2'
loop_
_atom_site_label
_atom_site_type_symbol
_atom_site_fract_x
_atom_site_fract_y
_atom_site_fract_z
Er1 Er 0.0000 0.0000 0.0000
Pa1 Pa 0.5000 0.5000 0.0000
Co1 Co 0.0000 0.5000 0.5000

Which one sits at the bottom of the stability order? arrangement b does.

Arrangement a

# ErPaCo2 | the Alexandria database | PBE-GGA | optimized geometry
# - M_tot (μB/f.u.) = 0.0
data_ErPaCo2
_cell_length_a 13.3426
_cell_length_b 3.6745
_cell_length_c 6.4302
_cell_angle_alpha 90.00
_cell_angle_beta 99.50
_cell_angle_gamma 90.00
_space_group_name_H-M_alt 'C 1 2/c 1'
_space_group_IT_number 15
loop_
_space_group_symop_operation_xyz
'x,y,z'
'-x,-y,-z'
'-x,y,-z+1/2'
'x,-y,z+1/2'
'x+1/2,y+1/2,z'
'-x+1/2,-y+1/2,-z'
'-x+1/2,y+1/2,-z+1/2'
'x+1/2,-y+1/2,z+1/2'
loop_
_atom_site_label
_atom_site_type_symbol
_atom_site_fract_x
_atom_site_fract_y
_atom_site_fract_z
Er1 Er 0.0000 0.2488 0.2500
Pa1 Pa 0.2500 0.2500 0.0000
Co1 Co 0.1371 0.2513 0.6286

Arrangement b

# ErPaCo2 | the Alexandria database | PBE-GGA | optimized geometry
# - M_tot (μB/f.u.) = 0.0
data_ErPaCo2
_cell_length_a 3.3314
_cell_length_b 3.3314
_cell_length_c 6.6772
_cell_angle_alpha 90.00
_cell_angle_beta 90.00
_cell_angle_gamma 90.00
_space_group_name_H-M_alt 'P 4/m m m'
_space_group_IT_number 123
_space_group_name_Hall '-P 4 2'
loop_
_atom_site_label
_atom_site_type_symbol
_atom_site_fract_x
_atom_site_fract_y
_atom_site_fract_z
Er1 Er 0.0000 0.0000 0.0000
Pa1 Pa 0.0000 0.0000 0.5000
Co1 Co 0.5000 0.5000 0.2963

Which one sits at the bottom of the stability order? arrangement a does.

Arrangement a

# Er2PaCo | the Alexandria database | PBE-GGA | optimized geometry
# - M_tot (μB/f.u.) = 0.0
data_Er2PaCo
_cell_length_a 6.6915
_cell_length_b 9.4774
_cell_length_c 6.1440
_cell_angle_alpha 90.00
_cell_angle_beta 90.00
_cell_angle_gamma 90.00
_space_group_name_H-M_alt 'P n m a'
_space_group_IT_number 62
loop_
_space_group_symop_operation_xyz
'x,y,z'
'-x,-y,-z'
'-x+1/2,-y,z+1/2'
'x+1/2,y,-z+1/2'
'x+1/2,-y+1/2,-z+1/2'
'-x+1/2,y+1/2,z+1/2'
'-x,y+1/2,-z'
'x,-y+1/2,z'
loop_
_atom_site_label
_atom_site_type_symbol
_atom_site_fract_x
_atom_site_fract_y
_atom_site_fract_z
Er1 Er 0.1778 0.0681 0.1684
Pa1 Pa 0.0506 0.2500 0.6737
Co1 Co 0.1389 0.7500 0.9864

Arrangement b

# Er2PaCo | the Alexandria database | PBE-GGA | optimized geometry
# - M_tot (μB/f.u.) = 0.0
data_Er2PaCo
_cell_length_a 3.2753
_cell_length_b 3.2753
_cell_length_c 30.7869
_cell_angle_alpha 90.00
_cell_angle_beta 90.00
_cell_angle_gamma 120.00
_space_group_name_H-M_alt 'R -3 m'
_space_group_IT_number 166
_space_group_name_Hall '-R 3 2"'
loop_
_atom_site_label
_atom_site_type_symbol
_atom_site_fract_x
_atom_site_fract_y
_atom_site_fract_z
Er1 Er 0.0000 0.0000 0.1059
Pa1 Pa 0.0000 0.0000 0.0000
Co1 Co 0.0000 0.0000 0.5000

Which one sits at the bottom of the stability order? arrangement b does.